Compound: Y12Er3Cd
Source: the Alexandria database
Functional: PBE
Structure: optimized geometry

Values from the calculation:
SG   P4/mmm
Formation energy from the elements   -2 meV per atom
DFT total energy   -5.762 eV per atom

abc: 4.9795 4.9795 20.1643
angles: 90.00 90.00 90.00
Sites, in units of the cell vectors:
Y (0.5000, 0.5000, 0.0000)
Y (0.5000, 0.5000, 0.2448)
Y (0.5000, 0.5000, 0.5000)
Y (0.5000, 0.5000, 0.7552)
Y (0.5000, 0.0000, 0.1216)
Y (0.5000, 0.0000, 0.3736)
Y (0.5000, 0.0000, 0.6264)
Y (0.5000, 0.0000, 0.8784)
Y (0.0000, 0.5000, 0.1216)
Y (0.0000, 0.5000, 0.3736)
Y (0.0000, 0.5000, 0.6264)
Y (0.0000, 0.5000, 0.8784)
Er (0.0000, 0.0000, 0.2483)
Er (0.0000, 0.0000, 0.5000)
Er (0.0000, 0.0000, 0.7517)
Cd (0.0000, 0.0000, 0.0000)